VPd2NO | Alexandria via LeMat-Bulk | GGA+U | optimized geometry; total energy = -25.26 eV/cell; calculated volume = 79.6 Å³/cell; total magnetic moment = 0.00 μB/cell; symmetry = No. 123; mass density = 6132 kg/m³; crystal system = tetragonal
1.0
4.7524 0.0000 0.0000
0.0000 4.7524 0.0000
0.0000 0.0000 3.5227
V Pd N O
1 2 1 1
direct
0.0000 0.0000 0.0000 V
0.0000 0.5000 0.0000 Pd
0.5000 0.0000 0.0000 Pd
0.5000 0.5000 0.5000 N
0.0000 0.0000 0.5000 O


V2PdNO | Alexandria via LeMat-Bulk | GGA+U | optimized geometry; total energy = -28.68 eV/cell; calculated volume = 61.4 Å³/cell; total magnetic moment = 0.00 μB/cell; symmetry = No. 123; mass density = 6440 kg/m³; crystal system = tetragonal
1.0
3.7966 0.0000 0.0000
0.0000 3.7966 0.0000
0.0000 0.0000 4.2630
V Pd N O
2 1 1 1
direct
0.0000 0.5000 0.0000 V
0.5000 0.0000 0.0000 V
0.0000 0.0000 0.5000 Pd
0.5000 0.5000 0.5000 N
0.5000 0.5000 0.0000 O


PdWNO2 | Alexandria via LeMat-Bulk | GGA+U | optimized geometry; total energy = -26.88 eV/cell; calculated volume = 62.8 Å³/cell; total magnetic moment = 2.24 μB/cell; symmetry = No. 123; mass density = 8885 kg/m³; crystal system = tetragonal
1.0
4.0276 0.0000 0.0000
0.0000 4.0276 0.0000
0.0000 0.0000 3.8741
Pd W N O
1 1 1 2
direct
0.0000 0.0000 0.0000 Pd
0.5000 0.5000 0.5000 W
0.0000 0.0000 0.5000 N
0.0000 0.5000 0.0000 O
0.5000 0.0000 0.0000 O


PdWNO2 | Alexandria via LeMat-Bulk | GGA+U | optimized geometry; total energy = -32.75 eV/cell; calculated volume = 61.7 Å³/cell; total magnetic moment = 0.89 μB/cell; symmetry = No. 123; mass density = 9048 kg/m³; crystal system = tetragonal
1.0
3.8923 0.0000 0.0000
0.0000 3.8923 0.0000
0.0000 0.0000 4.0735
Pd W N O
1 1 1 2
direct
0.0000 0.0000 0.0000 Pd
0.5000 0.5000 0.5000 W
0.5000 0.5000 0.0000 N
0.0000 0.5000 0.5000 O
0.5000 0.0000 0.5000 O


PdWN2O | Alexandria via LeMat-Bulk | GGA+U | optimized geometry; total energy = -25.94 eV/cell; calculated volume = 60.8 Å³/cell; total magnetic moment = 1.31 μB/cell; symmetry = No. 123; mass density = 9124 kg/m³; crystal system = tetragonal
1.0
3.9026 0.0000 0.0000
0.0000 3.9026 0.0000
0.0000 0.0000 3.9944
Pd W N O
1 1 2 1
direct
0.0000 0.0000 0.0000 Pd
0.5000 0.5000 0.5000 W
0.0000 0.5000 0.0000 N
0.5000 0.0000 0.0000 N
0.0000 0.0000 0.5000 O


PdW2NO | Alexandria via LeMat-Bulk | GGA+U | optimized geometry; total energy = -22.79 eV/cell; calculated volume = 103.9 Å³/cell; total magnetic moment = 7.14 μB/cell; symmetry = No. 123; mass density = 8060 kg/m³; crystal system = tetragonal
1.0
5.2735 0.0000 0.0000
0.0000 5.2735 0.0000
0.0000 0.0000 3.7343
Pd W N O
1 2 1 1
direct
0.0000 0.0000 0.0000 Pd
0.0000 0.5000 0.0000 W
0.5000 0.0000 0.0000 W
0.5000 0.5000 0.5000 N
0.0000 0.0000 0.5000 O